The following is a DFT calculation (PBE) of a relaxed ErAgS2 crystal.

Unit cell a=3.8285 b=3.8285 c=20.0935 alpha=90.00 beta=90.00 gamma=120.00
Space group R3m (No. 160, hexagonal axes)
Symmetry-distinct sites (fractional):
Er  0.0000  0.0000  0.0000 x3
Ag  0.0000  0.0000  0.1672 x3
S  0.0000  0.0000  0.5851 x3
S  0.0000  0.0000  0.7473 x3

Results
As for the uncorrected formation energy: -1167 meV/atom. The value obtained for the calculated total energy is -5.084 eV per atom. The total magnetic moment comes out at 0.0 μB/f.u.